A geometry-optimized CrCuOs2 structure. Source: the Alexandria database, functional PBE-GGA.

a b c (Å): 4.6626 4.6626 4.6626
angles (deg): 132.99 132.99 68.68
Last column: nearest neighbours and their distance in Å.
Fractional coordinates of all 4 atoms:
1 Os 0.0000 0.0000 0.0000  4 Cr 2.63, 4 Os 2.68, 4 Cu 2.68
2 Os 0.2500 0.7500 0.5000  4 Cu 2.63, 4 Cr 2.68, 4 Os 2.68
3 Cu 0.7500 0.2500 0.5000  8 Os 2.63-2.68, 4 Cr 2.68
4 Cr 0.5000 0.5000 0.0000  8 Os 2.63-2.68, 4 Cu 2.68

- Spin magnetization: 1.63 μB/f.u.
- V: 13.32 Å³/atom
- E above lowest polymorph: 136.4 meV per atom